Record 1
KBaTa2 | GGA-PBE | relaxed

## Properties
Fermi-level density of states	5.431	states/eV per cell
energy above the most stable polymorph in this dataset	212.2	meV/atom

a b c (Å): 12.029 12.029 12.029
angles (deg): 16.55 16.55 16.55
Element x y z (fractional)
Ba  0.517  0.517  0.517
K  0.737  0.737  0.737
Ta  0.982  0.982  0.982
Ta  0.265  0.265  0.265

=====

Record 2
ZnP2CO | GGA-PBE | relaxed

## Properties
Fermi-level density of states	5.746	states/eV per cell
energy above the most stable polymorph in this dataset	839.4	meV/atom

a b c (Å): 4.681 4.681 3.565
angles (deg): 90.00 90.00 90.00
Element x y z (fractional)
P  0.000  0.500  0.000
P  0.500  0.000  0.000
Zn  0.000  0.000  0.000
C  0.500  0.500  0.500
O  0.000  0.000  0.500

=====

Record 3
KSc2Os | GGA-PBE | relaxed

## Properties
Fermi-level density of states	2.234	states/eV per cell
energy above the most stable polymorph in this dataset	0.0	meV/atom

a b c (Å): 3.261 3.261 10.099
angles (deg): 90.00 90.00 90.00
Element x y z (fractional)
K  0.500  0.500  0.250
Os  0.500  0.500  0.750
Sc  0.000  0.000  0.901
Sc  0.000  0.000  0.599

=====

Record 4
Zr2P3 | GGA-PBE | relaxed

## Properties
Fermi-level density of states	4.469	states/eV per cell
energy above the most stable polymorph in this dataset	0.0	meV/atom

a b c (Å): 7.846 7.397 5.205
angles (deg): 74.75 65.45 39.79
Element x y z (fractional)
Zr  0.336  0.568  0.246
Zr  0.850  0.246  0.568
Zr  0.682  0.914  0.400
Zr  0.004  0.400  0.914
P  0.405  0.356  0.749
P  0.490  0.749  0.356
P  0.894  0.845  0.760
P  0.501  0.760  0.845
P  0.919  0.081  0.081
P  0.169  0.331  0.331

=====

Record 5
CeUAs2 | GGA-PBE | relaxed

## Properties
Fermi-level density of states	9.130	states/eV per cell
energy above the most stable polymorph in this dataset	155.3	meV/atom

a b c (Å): 4.026 4.026 7.690
angles (deg): 74.82 74.82 60.00
Element x y z (fractional)
Ce  0.669  0.669  0.993
U  0.498  0.498  0.506
As  0.084  0.084  0.748
As  0.249  0.249  0.254

=====

Record 6
Ac3LaNd2S6 | GGA-PBE | relaxed

## Properties
Fermi-level density of states	5.918	states/eV per cell

a b c (Å): 7.273 7.273 7.293
angles (deg): 99.60 99.60 120.08
Element x y z (fractional)
Ac  0.166  0.834  0.500
Ac  0.834  0.166  0.500
Ac  0.500  0.500  0.500
La  0.000  0.000  0.000
Nd  0.333  0.667  0.000
Nd  0.667  0.333  0.000
S  0.921  0.585  0.763
S  0.742  0.742  0.236
S  0.079  0.415  0.237
S  0.585  0.921  0.763
S  0.258  0.258  0.764
S  0.415  0.079  0.237

=====

Record 7
In4Ag7Hg | GGA-PBE | relaxed

## Properties
Fermi-level density of states	2.441	states/eV per cell

a b c (Å): 5.626 5.503 9.898
angles (deg): 77.97 56.67 84.44
Element x y z (fractional)
In  0.556  0.627  0.253
In  0.444  0.373  0.747
In  0.721  0.860  0.685
In  0.279  0.140  0.315
Ag  0.815  0.518  0.921
Ag  0.185  0.482  0.079
Ag  0.068  0.308  0.626
Ag  0.932  0.692  0.374
Ag  0.308  0.794  0.581
Ag  0.500  0.000  0.000
Ag  0.692  0.206  0.419
Hg  0.000  0.000  0.000

=====

Record 8
Mg4ZnIn3 | GGA-PBE | relaxed

## Properties
Fermi-level density of states	3.121	states/eV per cell

a b c (Å): 3.217 3.217 17.042
angles (deg): 90.00 90.00 90.00
Element x y z (fractional)
Mg  0.000  0.000  0.897
Mg  0.000  0.000  0.103
Mg  0.000  0.000  0.369
Mg  0.000  0.000  0.631
Zn  0.500  0.500  0.000
In  0.500  0.500  0.237
In  0.500  0.500  0.500
In  0.500  0.500  0.763

=====

Record 9
Ca3Dy3ErSe8 | GGA-PBE | relaxed

## Properties
Fermi-level density of states	4.277	states/eV per cell

a b c (Å): 8.188 8.189 8.311
angles (deg): 119.52 90.00 119.99
Element x y z (fractional)
Ca  0.000  0.000  0.000
Ca  0.000  0.500  0.000
Ca  0.500  0.500  0.000
Dy  0.500  0.000  0.500
Dy  0.500  0.500  0.500
Dy  0.000  0.500  0.500
Er  0.000  0.000  0.500
Se  0.252  0.503  0.255
Se  0.748  0.497  0.745
Se  0.754  0.507  0.259
Se  0.246  0.493  0.741
Se  0.754  0.006  0.260
Se  0.246  0.994  0.740
Se  0.252  0.006  0.260
Se  0.748  0.994  0.740

=====

Record 10
Rb3TlOs | GGA-PBE | relaxed

## Properties
Fermi-level density of states	5.864	states/eV per cell
energy above the most stable polymorph in this dataset	0.0	meV/atom

a b c (Å): 6.488 6.488 6.488
angles (deg): 90.00 90.00 90.00
Element x y z (fractional)
Tl  0.500  0.500  0.500
Os  0.000  0.000  0.000
Rb  0.000  0.500  0.000
Rb  0.000  0.000  0.500
Rb  0.500  0.000  0.000

=====

Number 1: M_tot 0.0 μB per formula unit, energy -5.74 eV per atom. Number 2: M_tot 0.0 μB per formula unit, energy -3.45 eV per atom. Number 3: M_tot 0.0 μB per formula unit, energy -6.33 eV per atom. Number 4: M_tot 0.0 μB per formula unit, energy -7.58 eV per atom. Number 5: M_tot 3.7 μB per formula unit, energy -7.54 eV per atom. Number 6: M_tot 0.0 μB per formula unit, energy -6.33 eV per atom. Number 7: M_tot 0.0 μB per formula unit, energy -2.56 eV per atom. Number 8: M_tot 0.0 μB per formula unit, energy -2.07 eV per atom. Number 9: M_tot 0.0 μB per formula unit, energy -5.40 eV per atom. Number 10: M_tot 3.4 μB per formula unit, energy -2.10 eV per atom.